! LiCoRh4 | Alexandria via LeMat-Bulk | GGA-PBE | relaxed; values from VASP
&SYSTEM
  ibrav = 0, nat = 6, ntyp = 3
/
ATOMIC_SPECIES
Li 6.94 Li.upf
Co 58.93 Co.upf
Rh 102.91 Rh.upf
CELL_PARAMETERS angstrom
0.000 3.595 3.595
3.595 0.000 3.595
3.595 3.595 0.000
ATOMIC_POSITIONS crystal
Li 0.000 0.000 0.000
Co 0.250 0.250 0.250
Rh 0.125 0.625 0.625
Rh 0.625 0.125 0.625
Rh 0.625 0.625 0.125
Rh 0.625 0.625 0.625
! Energy of formation, eV per formula unit: 2.1
! Fermi-level density of states, states/eV/f.u.: 9.71
! Uncorrected energy, eV/cell: -36.34
! Symmetry: F-43m (216)

=====

! FePt2Rh | Alexandria via LeMat-Bulk | GGA-PBE | relaxed; values from VASP
&SYSTEM
  ibrav = 0, nat = 4, ntyp = 3
/
ATOMIC_SPECIES
Fe 55.84 Fe.upf
Pt 195.08 Pt.upf
Rh 102.91 Rh.upf
CELL_PARAMETERS angstrom
2.740 0.000 0.000
0.000 2.740 0.000
0.000 0.000 7.696
ATOMIC_POSITIONS crystal
Fe 0.000 0.000 0.000
Pt 0.000 0.000 0.511
Pt 0.500 0.500 0.238
Rh 0.500 0.500 0.772
! Energy of formation, eV per formula unit: -0.4
! Fermi-level density of states, states/eV/f.u.: 6.49
! Uncorrected energy, eV/cell: -28.32
! Symmetry: P4mm (99)

=====

! RbUTl2I6 | Alexandria via LeMat-Bulk | GGA-PBE | relaxed; values from VASP
&SYSTEM
  ibrav = 0, nat = 10, ntyp = 4
/
ATOMIC_SPECIES
Rb 85.47 Rb.upf
U 238.03 U.upf
Tl 204.38 Tl.upf
I 126.90 I.upf
CELL_PARAMETERS angstrom
4.387 2.533 7.713
-4.387 2.533 7.713
0.000 -5.066 7.713
ATOMIC_POSITIONS crystal
Rb 0.000 0.000 0.000
U 0.489 0.489 0.489
Tl 0.293 0.293 0.293
Tl 0.804 0.804 0.804
I 0.118 0.678 0.415
I 0.248 0.591 0.848
I 0.415 0.118 0.678
I 0.591 0.848 0.248
I 0.678 0.415 0.118
I 0.848 0.248 0.591
! E_form (uncorrected), eV per atom: -0.89
! Uncorrected energy, eV/cell: -35.18
! Symmetry: R3 (146)

=====

! LaPm8Nd2 | Alexandria via LeMat-Bulk | GGA-PBE | relaxed; values from VASP
&SYSTEM
  ibrav = 0, nat = 11, ntyp = 3
/
ATOMIC_SPECIES
La 138.91 La.upf
Pm 145.00 Pm.upf
Nd 144.24 Nd.upf
CELL_PARAMETERS angstrom
9.768 -3.575 0.000
9.768 3.575 0.000
-0.355 0.000 5.713
ATOMIC_POSITIONS crystal
La 0.000 0.000 0.000
Pm 0.136 0.602 0.269
Pm 0.187 0.187 0.231
Pm 0.398 0.864 0.731
Pm 0.456 0.456 0.761
Pm 0.544 0.544 0.239
Pm 0.602 0.136 0.269
Pm 0.813 0.813 0.769
Pm 0.864 0.398 0.731
Nd 0.284 0.284 0.744
Nd 0.716 0.716 0.256
! Energy of formation, eV per formula unit: 1.6
! Fermi-level density of states, states/eV/f.u.: 17.34
! Offset from the most stable computed form, eV per atom: 0.036
! Uncorrected energy, eV/cell: -50.91
! Symmetry: C2/m (12)